[1]
The following is a GGA-PBE calculation of a relaxed Dy3SiC crystal, from the Alexandria database.

The space group is Pnma (No. 62) and the conventional cell measures 8.145, 3.787 and 13.915 Å, with angles of 90.00, 90.00 and 90.00 degrees. The asymmetric unit holds Dy at (0.019, 0.250, 0.103), Dy at (0.168, 0.250, 0.511), Dy at (0.200, 0.750, 0.294), Si at (0.088, 0.750, 0.675) and C at (0.165, 0.250, 0.944).

Its calculated total energy is -123.6 eV/cell. The calculation puts the volume at 21.46 Å³ per atom. As for the formation energy (no corrections): -0.49 eV per atom. The crystal system is orthorhombic.


[2]
The following is a GGA-PBE calculation of a relaxed Sr6Hg2Pt crystal, from the Alexandria database.

The space group is P2_1/c (No. 14) and the conventional cell measures 7.530, 8.597 and 13.460 Å, with angles of 90.00, 123.42 and 90.00 degrees. The asymmetric unit holds Sr at (0.109, 0.173, 0.439), Sr at (0.279, 0.690, 0.437), Sr at (0.389, 0.033, 0.252), Hg at (0.196, 0.115, 0.751) and Pt at (0.500, 0.000, 0.500).

Its calculated total energy is -42.2 eV/cell. The calculation puts the volume at 40.41 Å³ per atom. The crystal system is monoclinic.


[3]
The following is a GGA-PBE calculation of a relaxed Rb3La3HfTe8 crystal, from the Alexandria database.

The space group is R-3m (No. 166, hexagonal axes) and the conventional cell measures 9.1873, 9.1873 and 26.2139 Å, with angles of 90.00, 90.00 and 120.00 degrees. The asymmetric unit holds Rb at (0.0000, 0.5000, 0.0000), La at (0.0000, 0.5000, 0.5000), Hf at (0.0000, 0.0000, 0.5000), Te at (0.0000, 0.0000, 0.2362) and Te at (0.0285, 0.5142, 0.2309).

Its calculated total energy is -218.3 eV/cell. The calculation puts the volume at 42.58 Å³ per atom. As for the formation energy (no corrections): -1.33 eV per atom. The crystal system is trigonal.


[4]
The following is a GGA-PBE calculation of a relaxed HoVTe crystal, from the Alexandria database.

The space group is C2/m (No. 12) and the conventional cell measures 5.766, 6.045 and 8.789 Å, with angles of 90.00, 109.05 and 90.00 degrees. The asymmetric unit holds Ho at (0.181, 0.000, 0.363), V at (0.163, 0.000, 0.000) and Te at (0.131, 0.500, 0.261).

Its calculated total energy is -69.6 eV/cell. The calculation puts the volume at 24.13 Å³ per atom. As for the formation energy (no corrections): -0.18 eV per atom. The crystal system is monoclinic.


[5]
The following is a GGA-PBE calculation of a relaxed Tb4Pr2Y5 crystal, from the Alexandria database.

The space group is C2/m (No. 12) and the conventional cell measures 24.060, 3.479 and 8.808 Å, with angles of 90.00, 96.15 and 90.00 degrees. The asymmetric unit holds Tb at (0.046, 0.000, 0.361), Tb at (0.178, 0.500, 0.472), Pr at (0.091, 0.000, 0.740), Y at (0.000, 0.500, 0.000), Y at (0.141, 0.000, 0.121) and Y at (0.233, 0.000, 0.825).

Its calculated total energy is -117.5 eV/cell. The calculation puts the volume at 33.32 Å³ per atom. Its energy above the most stable polymorph in this dataset is 0 meV/atom. The crystal system is monoclinic.


[6]
The following is a GGA-PBE calculation of a relaxed Pr3CuGe3 crystal, from the Alexandria database.

The space group is Imm2 (No. 44) and the conventional cell measures 4.162, 4.403 and 18.549 Å, with angles of 90.00, 90.00 and 90.00 degrees. The asymmetric unit holds Pr at (0.000, 0.000, 0.000), Pr at (0.000, 0.000, 0.365), Pr at (0.000, 0.500, 0.683), Cu at (0.000, 0.500, 0.112), Ge at (0.000, 0.000, 0.542), Ge at (0.000, 0.000, 0.828) and Ge at (0.000, 0.500, 0.240).

Its calculated total energy is -74.6 eV/cell. The calculation puts the volume at 24.28 Å³ per atom. The crystal system is orthorhombic.


[7]
The following is a GGA-PBE calculation of a relaxed AlHgBr2 crystal, from the Alexandria database.

The space group is Fm-3m (No. 225) and the conventional cell measures 7.541, 7.541 and 7.541 Å, with angles of 90.00, 90.00 and 90.00 degrees. The asymmetric unit holds Al at (0.000, 0.000, 0.000), Hg at (0.000, 0.000, 0.500) and Br at (0.250, 0.250, 0.250).

Its calculated total energy is -30.5 eV/cell. The calculation puts the volume at 26.81 Å³ per atom. As for the formation energy (no corrections): -0.06 eV per atom. Its energy above the most stable polymorph in this dataset is 459 meV/atom. The crystal system is cubic.


[8]
The following is a GGA-PBE calculation of a relaxed HoEr2Zr crystal, from the Alexandria database.

The space group is Fm-3m (No. 225) and the conventional cell measures 7.728, 7.728 and 7.728 Å, with angles of 90.00, 90.00 and 90.00 degrees. The asymmetric unit holds Ho at (0.000, 0.000, 0.000), Er at (0.250, 0.250, 0.250) and Zr at (0.000, 0.000, 0.500).

Its calculated total energy is -85.7 eV/cell. The calculation puts the volume at 28.85 Å³ per atom. Its energy above the most stable polymorph in this dataset is 150 meV/atom. The crystal system is cubic.


[9]
The following is a GGA-PBE calculation of a relaxed Zn2IrCl crystal, from the Alexandria database.

The space group is Cm (No. 8) and the conventional cell measures 9.698, 3.035 and 4.378 Å, with angles of 90.00, 92.34 and 90.00 degrees. The asymmetric unit holds Zn at (0.000, 0.000, 0.000), Zn at (0.215, 0.500, 0.622), Ir at (0.263, 0.000, 0.111) and Cl at (0.461, 0.000, 0.494).

Its calculated total energy is -26.3 eV/cell. The calculation puts the volume at 16.09 Å³ per atom. As for the formation energy (no corrections): 0.03 eV per atom. Its energy above the most stable polymorph in this dataset is 296 meV/atom. The crystal system is monoclinic.


[10]
The following is a GGA-PBE calculation of a relaxed PrTl2Ga crystal, from the Alexandria database.

The space group is R-3m (No. 166, hexagonal axes) and the conventional cell measures 3.5105, 3.5105 and 33.8315 Å, with angles of 90.00, 90.00 and 120.00 degrees. The asymmetric unit holds Pr at (0.0000, 0.0000, 0.0000), Tl at (0.0000, 0.0000, 0.0957) and Ga at (0.0000, 0.0000, 0.5000).

Its calculated total energy is -36.1 eV/cell. The calculation puts the volume at 30.09 Å³ per atom. Its energy above the most stable polymorph in this dataset is 476 meV/atom. The crystal system is trigonal.


[11]
The following is a GGA-PBE calculation of a relaxed HoPdRh2 crystal, from the Alexandria database.

The space group is P4/mmm (No. 123) and the conventional cell measures 4.077, 4.077 and 4.022 Å, with angles of 90.00, 90.00 and 90.00 degrees. The asymmetric unit holds Ho at (0.000, 0.000, 0.000), Pd at (0.500, 0.500, 0.000) and Rh at (0.000, 0.500, 0.500).

Its calculated total energy is -26.9 eV/cell. The calculation puts the volume at 16.72 Å³ per atom. The crystal system is tetragonal.


[12]
The following is a GGA-PBE calculation of a relaxed Tb2Al9Ag6 crystal, from the Alexandria database.

The space group is P6/mmm (No. 191) and the conventional cell measures 5.4655, 5.4655 and 13.2641 Å, with angles of 90.00, 90.00 and 120.00 degrees. The asymmetric unit holds Tb at (0.0000, 0.0000, 0.1641), Al at (0.0000, 0.5000, 0.0000), Al at (0.0000, 0.5000, 0.3349), Ag at (0.3333, 0.6667, 0.1664) and Ag at (0.3333, 0.6667, 0.5000).

Its calculated total energy is -62.8 eV/cell. The calculation puts the volume at 20.18 Å³ per atom. The crystal system is hexagonal.


[13]
The following is a GGA-PBE calculation of a relaxed CsZrSn3 crystal, from the Alexandria database.

The space group is Pm-3m (No. 221) and the conventional cell measures 5.826, 5.826 and 5.826 Å, with angles of 90.00, 90.00 and 90.00 degrees. The asymmetric unit holds Cs at (0.000, 0.000, 0.000), Zr at (0.500, 0.500, 0.500) and Sn at (0.000, 0.000, 0.500).

Its calculated total energy is -12.6 eV/cell. The calculation puts the volume at 39.56 Å³ per atom. Its energy above the most stable polymorph in this dataset is 1857 meV/atom. The crystal system is cubic.


[14]
The following is a GGA-PBE calculation of a relaxed KZrSb crystal, from the Alexandria database.

The space group is P-6m2 (No. 187) and the conventional cell measures 5.3474, 5.3474 and 3.4039 Å, with angles of 90.00, 90.00 and 120.00 degrees. The asymmetric unit holds K at (0.0000, 0.0000, 0.0000), Zr at (0.3333, 0.6667, 0.5000) and Sb at (0.6667, 0.3333, 0.5000).

Its calculated total energy is -13.0 eV/cell. The calculation puts the volume at 28.10 Å³ per atom. As for the formation energy (no corrections): 0.25 eV per atom. The crystal system is hexagonal.


[15]
The following is a GGA-PBE calculation of a relaxed La4Pm3Sm5 crystal, from the Alexandria database.

The space group is P-1 (No. 2) and the conventional cell measures 6.380, 7.323 and 9.013 Å, with angles of 90.27, 90.16 and 90.04 degrees. The asymmetric unit holds La at (0.167, 0.000, 0.168), La at (0.333, 0.251, 0.831), Pm at (0.332, 0.749, 0.832), Pm at (0.500, 0.500, 0.500), Sm at (0.002, 0.748, 0.500), Sm at (0.166, 0.500, 0.169) and Sm at (0.500, 0.000, 0.500).

Its calculated total energy is -57.3 eV/cell. The calculation puts the volume at 35.09 Å³ per atom. Its energy above the most stable polymorph in this dataset is 0 meV/atom. The crystal system is triclinic.


[16]
The following is a GGA-PBE calculation of a relaxed LaLuSnPb crystal, from the Alexandria database.

The space group is F-43m (No. 216) and the conventional cell measures 7.761, 7.761 and 7.761 Å, with angles of 90.00, 90.00 and 90.00 degrees. The asymmetric unit holds La at (0.000, 0.000, 0.000), Lu at (0.000, 0.000, 0.500), Sn at (0.250, 0.250, 0.750) and Pb at (0.250, 0.250, 0.250).

Its calculated total energy is -76.2 eV/cell. The calculation puts the volume at 29.21 Å³ per atom. The crystal system is cubic.


[17]
The following is a GGA-PBE calculation of a relaxed TmThSb2N crystal, from the Alexandria database.

The space group is P4/nmm (No. 129, origin choice 2) and the conventional cell measures 4.149, 4.149 and 14.715 Å, with angles of 90.00, 90.00 and 90.00 degrees. The asymmetric unit holds Tm at (0.250, 0.250, 0.071), Th at (0.250, 0.250, 0.576), Sb at (0.250, 0.250, 0.275), Sb at (0.250, 0.250, 0.862) and N at (0.250, 0.750, 0.500).

Its calculated total energy is -66.8 eV/cell. The calculation puts the volume at 25.33 Å³ per atom. As for the formation energy (no corrections): -0.99 eV per atom. The crystal system is tetragonal.


[18]
The following is a GGA-PBE calculation of a relaxed Eu5Te crystal, from the Alexandria database.

The space group is Cmmm (No. 65) and the conventional cell measures 4.444, 17.370 and 5.844 Å, with angles of 90.00, 90.00 and 90.00 degrees. The asymmetric unit holds Eu at (0.000, 0.000, 0.000), Eu at (0.000, 0.151, 0.500), Eu at (0.000, 0.330, 0.000) and Te at (0.000, 0.500, 0.500).

Its calculated total energy is -113.3 eV/cell. The calculation puts the volume at 37.59 Å³ per atom. As for the formation energy (no corrections): -0.35 eV per atom. The crystal system is orthorhombic.


[19]
The following is a GGA-PBE calculation of a relaxed Be2SBr crystal, from the Alexandria database.

The space group is P1 (No. 1) and the conventional cell measures 5.142, 5.142 and 5.874 Å, with angles of 100.52, 104.02 and 90.00 degrees. The asymmetric unit holds Be at (0.000, 0.000, 0.000), Be at (0.062, 0.375, 0.243), Be at (0.533, 0.397, 0.859), Be at (0.742, 0.061, 0.240), S at (0.370, 0.196, 0.078), S at (0.834, 0.671, 0.081), Br at (0.237, 0.580, 0.613) and Br at (0.737, 0.083, 0.644).

Its calculated total energy is -31.4 eV/cell. The calculation puts the volume at 18.50 Å³ per atom. As for the formation energy (no corrections): -0.62 eV per atom. Its energy above the most stable polymorph in this dataset is 89 meV/atom. The crystal system is triclinic.


[20]
The following is a GGA-PBE calculation of a relaxed BaCeTm4S8 crystal, from the Alexandria database.

The space group is R3m (No. 160, hexagonal axes) and the conventional cell measures 8.1547, 8.1547 and 20.4336 Å, with angles of 90.00, 90.00 and 120.00 degrees. The asymmetric unit holds Ba at (0.0000, 0.0000, 0.0000), Ce at (0.0000, 0.0000, 0.6274), Tm at (0.0000, 0.0000, 0.2516), Tm at (0.1686, 0.3372, 0.4597), S at (0.0000, 0.0000, 0.3834), S at (0.0000, 0.0000, 0.8579), S at (0.0441, 0.5220, 0.3872) and S at (0.1717, 0.3434, 0.2036).

Its calculated total energy is -257.3 eV/cell. The calculation puts the volume at 28.02 Å³ per atom. As for the formation energy (no corrections): -1.93 eV per atom. The crystal system is trigonal.